# 1
Entry from Alexandria via LeMat-Bulk: CsZr3Ru after structural relaxation (PBE-GGA).

The space group is Pm-3m (No. 221) and the conventional cell measures 5.160, 5.160 and 5.160 Å, with angles of 90.00, 90.00 and 90.00 degrees. The inequivalent atoms are Cs at (0.000, 0.000, 0.000), Zr at (0.000, 0.000, 0.500) and Ru at (0.500, 0.500, 0.500).

The energy of formation is 2.4092 eV/atom. As for the energy above the lowest structure with this stoichiometry: 1799 meV/atom.


# 2
Entry from Alexandria via LeMat-Bulk: CsZr3Ru after structural relaxation (PBE-GGA).

The space group is Pm-3m (No. 221) and the conventional cell measures 5.223, 5.223 and 5.223 Å, with angles of 90.00, 90.00 and 90.00 degrees. The inequivalent atoms are Cs at (0.000, 0.000, 0.000), Zr at (0.000, 0.500, 0.500) and Ru at (0.500, 0.500, 0.500).

The energy of formation is 0.6103 eV/atom. As for the energy above the lowest structure with this stoichiometry: 0 meV/atom.


# 3
Entry from Alexandria via LeMat-Bulk: CsZrRu2 after structural relaxation (PBE-GGA).

The space group is Fm-3m (No. 225) and the conventional cell measures 6.875, 6.875 and 6.875 Å, with angles of 90.00, 90.00 and 90.00 degrees. The inequivalent atoms are Cs at (0.000, 0.000, 0.000), Zr at (0.000, 0.000, 0.500) and Ru at (0.250, 0.250, 0.250).

The energy of formation is 1.1313 eV/atom.


# 4
Entry from Alexandria via LeMat-Bulk: Cs3ZrRu after structural relaxation (PBE-GGA).

The space group is Pm-3m (No. 221) and the conventional cell measures 6.041, 6.041 and 6.041 Å, with angles of 90.00, 90.00 and 90.00 degrees. The inequivalent atoms are Cs at (0.000, 0.000, 0.500), Zr at (0.500, 0.500, 0.500) and Ru at (0.000, 0.000, 0.000).

The energy of formation is 1.7517 eV/atom. As for the energy above the lowest structure with this stoichiometry: 0 meV/atom.


# 5
Entry from Alexandria via LeMat-Bulk: CsS5 after structural relaxation (PBE-GGA).

The space group is Cmmm (No. 65) and the conventional cell measures 6.185, 13.893 and 3.539 Å, with angles of 90.00, 90.00 and 90.00 degrees. The inequivalent atoms are Cs at (0.000, 0.000, 0.000), S at (0.000, 0.261, 0.500), S at (0.000, 0.363, 0.000) and S at (0.000, 0.500, 0.500).

As for the energy above the lowest structure with this stoichiometry: 307 meV/atom. The formation energy from raw total energies is 39 meV per atom.


# 6
Entry from Alexandria via LeMat-Bulk: Cs3S after structural relaxation (PBE-GGA).

The space group is P6_3/mcm (No. 193) and the conventional cell measures 9.3624, 9.3624 and 8.9626 Å, with angles of 90.00, 90.00 and 120.00 degrees. The inequivalent atoms are Cs at (0.0000, 0.2673, 0.2500) and S at (0.0000, 0.0000, 0.0000).

As for the energy above the lowest structure with this stoichiometry: 0 meV/atom. The formation energy from raw total energies is -711 meV per atom.


E_tot values (in eV per atom) by entry order: -4.746; -6.544; -5.857; -2.325; -3.543; -2.383.